1.
Computed, not measured: a relaxed structure of Li3Fe4O3F9 at the PBE+U level of DFT.

energy above the most stable polymorph in this dataset: 117 meV/atom
Fermi-level density of states: 0.000 states/eV per atom
ρ: 3.9 g/cm3
spin magnetization: 16.0 μB per formula unit

Unit cell a=6.0236 b=6.0598 c=5.6892 alpha=99.46 beta=97.28 gamma=100.10
Last column: nearest neighbours and their distance in Å.
Fractional positions:
F (0.0542, 0.8862, 0.6792)  1 Fe 1.91, 1 Li 1.99
F (0.1182, 0.3181, 0.9545)  2 Fe 2.01-2.13, 1 Li 2.04
F (0.1649, 0.5682, 0.4069)  1 Fe 1.90, 2 Li 1.98-2.11
F (0.4339, 0.6013, 0.8203)  2 Fe 2.00-2.06, 1 Li 2.13
F (0.7950, 0.3780, 0.5562)  3 Li 1.90-2.07, 1 Fe 2.05
F (0.3973, 0.1778, 0.5859)  1 Fe 1.98, 1 Li 1.99
F (0.9641, 0.0950, 0.3210)  1 Fe 1.89, 1 Li 1.95
F (0.5467, 0.4097, 0.1743)  2 Fe 2.05, 2 Li 2.09-2.27
F (0.9084, 0.6881, 0.0472)  1 Fe 1.94, 2 Li 2.00-2.15
Fe (0.4260, 0.9018, 0.7216)  3 O 1.94-2.17, 2 F 1.98-2.00
Fe (0.3278, 0.6310, 0.1525)  3 F 1.90-2.06, 2 O 2.01-2.03
Fe (0.6120, 0.1186, 0.2858)  3 O 1.99-2.08, 3 F 2.05-2.14
Fe (0.0051, 0.9984, 0.9988)  4 F 1.89-2.01, 2 O 1.92-1.94
Li (0.8460, 0.6663, 0.4079)  4 F 1.99-2.15, 1 O 2.10
Li (0.1267, 0.3238, 0.5984)  5 F 1.95-2.07
Li (0.6927, 0.4067, 0.8603)  4 F 1.90-2.13
O (0.7025, 0.0583, 0.9431)  3 Fe 1.92-2.08
O (0.5675, 0.8311, 0.4171)  3 Fe 1.99-2.04, 1 Li 2.10
O (0.3110, 0.9417, 0.0690)  4 Fe 1.94-2.17


2.
Computed, not measured: a relaxed structure of LiFe3O2F6 at the PBE+U level of DFT.

energy above the most stable polymorph in this dataset: 17 meV/atom
Fermi-level density of states: 0.000 states/eV per atom
ρ: 3.4 g/cm3
spin magnetization: 15.0 μB per formula unit

Unit cell a=5.2509 b=5.3759 c=6.0359 alpha=108.72 beta=87.98 gamma=104.09
Last column: nearest neighbours and their distance in Å.
Fractional positions:
Fe (0.7409, 0.4783, 0.1261)  2 O 1.97-2.00, 4 F 1.99-2.03
Fe (0.2600, 0.4956, 0.8788)  4 F 1.95-2.05, 2 O 1.97-1.99
Fe (0.2466, 0.5393, 0.3760)  4 F 1.96-2.04, 2 O 2.00-2.03
F (0.6468, 0.7009, 0.9394)  2 Fe 2.03-2.04, 1 Li 2.11
F (0.3185, 0.3029, 0.5555)  2 Fe 1.95-2.02
F (0.8910, 0.2427, 0.8470)  2 Fe 2.02-2.05, 1 Li 2.14
F (0.1671, 0.7378, 0.7077)  2 Fe 2.03-2.05, 1 Li 2.07
F (0.6217, 0.7236, 0.4137)  2 Fe 1.96-2.00
F (0.8829, 0.2814, 0.3008)  2 Fe 1.99-2.04
O (0.1109, 0.7038, 0.1662)  3 Fe 1.99-2.00, 1 Li 2.20
O (0.3631, 0.3027, 0.0749)  3 Fe 1.97-2.03, 1 Li 2.13
Li (0.0183, 0.9795, 0.9957)  4 F 2.07-2.25, 2 O 2.13-2.20


3.
Computed, not measured: a relaxed structure of LiFe5O4F8 at the PBE+U level of DFT.

energy above the most stable polymorph in this dataset: 213 meV/atom
ρ: 3.8 g/cm3
spin magnetization: 17.0 μB per formula unit

Unit cell a=9.5716 b=8.7149 c=5.5256 alpha=81.12 beta=64.10 gamma=34.78
Last column: nearest neighbours and their distance in Å.
Fractional positions:
Fe (0.2500, 0.2500, 0.2500)  4 O 1.98, 2 F 2.18
Fe (0.5905, 0.5905, 0.9095)  2 O 1.96, 4 F 2.04-2.05
Fe (0.9095, 0.9095, 0.5905)  2 O 1.96, 4 F 2.04-2.05
Fe (0.1637, 0.1637, 0.8363)  2 O 1.88, 4 F 1.96-1.99
Fe (0.8363, 0.8363, 0.1637)  2 O 1.88, 4 F 1.96-1.99
F (0.2801, 0.7199, 0.2801)  2 Fe 2.05, 1 Li 2.11
F (0.1330, 0.7024, 0.7915)  1 Li 1.95, 2 Fe 1.96-2.04
F (0.7915, 0.3732, 0.1330)  1 Li 1.95, 2 Fe 1.96-2.04
F (0.7199, 0.2801, 0.7199)  2 Fe 2.05, 1 Li 2.11
F (0.0233, 0.4767, 0.0233)  3 Fe 1.99-2.18
F (0.4767, 0.0233, 0.4767)  3 Fe 1.99-2.18
F (0.3732, 0.7915, 0.7024)  1 Li 1.95, 2 Fe 1.96-2.04
F (0.7024, 0.1330, 0.3732)  1 Li 1.95, 2 Fe 1.96-2.04
O (0.9775, 0.3567, 0.6319)  3 Fe 1.88-1.98
O (0.6319, 0.0339, 0.9775)  3 Fe 1.88-1.98
O (0.0339, 0.6319, 0.3567)  3 Fe 1.88-1.98
O (0.3567, 0.9775, 0.0339)  3 Fe 1.88-1.98
Li (0.5000, 0.5000, 0.5000)  6 F 1.95-2.11


4.
Computed, not measured: a relaxed structure of Li3FeO2F at the PBE+U level of DFT.

Fermi-level density of states: 0.000 states/eV per atom
ρ: 2.8 g/cm3
spin magnetization: 4.0 μB per formula unit
total energy: -148.43 eV for the cell shown

Unit cell a=3.6487 b=8.5715 c=9.5860 alpha=90.00 beta=90.00 gamma=90.00
Last column: nearest neighbours and their distance in Å.
Fractional positions:
O (0.5000, 0.3557, 0.8853)  1 Fe 1.93, 4 Li 1.94-2.05
O (0.5000, 0.6443, 0.1147)  1 Fe 1.93, 4 Li 1.94-2.05
O (0.0000, 0.8557, 0.6147)  1 Fe 1.93, 4 Li 1.94-2.05
O (0.0000, 0.5980, 0.3825)  3 Li 1.96-2.05, 2 Fe 1.99-2.02
O (0.0000, 0.4020, 0.6175)  3 Li 1.96-2.05, 2 Fe 1.99-2.02
O (0.5000, 0.0980, 0.1175)  3 Li 1.96-2.05, 2 Fe 1.99-2.02
O (0.0000, 0.1443, 0.3853)  1 Fe 1.93, 4 Li 1.94-2.05
O (0.5000, 0.9020, 0.8825)  3 Li 1.96-2.05, 2 Fe 1.99-2.02
Li (0.0000, 0.8455, 0.8280)  1 F 1.89, 3 O 1.96-2.05
Li (0.5000, 0.3935, 0.0880)  2 O 1.97-2.17, 2 F 1.98
Li (0.0000, 0.8935, 0.4120)  2 O 1.97-2.17, 2 F 1.98
Li (0.0000, 0.5980, 0.1683)  1 F 1.91, 3 O 1.94-2.05
Li (0.5000, 0.9020, 0.6683)  1 F 1.91, 3 O 1.94-2.05
Li (0.5000, 0.6065, 0.9120)  2 O 1.97-2.17, 2 F 1.98
Li (0.5000, 0.0980, 0.3317)  1 F 1.91, 3 O 1.94-2.05
Li (0.0000, 0.1545, 0.1720)  1 F 1.89, 3 O 1.96-2.05
Li (0.0000, 0.1065, 0.5880)  2 O 1.97-2.17, 2 F 1.98
Li (0.0000, 0.4020, 0.8317)  1 F 1.91, 3 O 1.94-2.05
Li (0.5000, 0.6545, 0.3280)  1 F 1.89, 3 O 1.96-2.05
Li (0.5000, 0.3455, 0.6720)  1 F 1.89, 3 O 1.96-2.05
Fe (0.5000, 0.1320, 0.9089)  3 O 1.93-2.02
Fe (0.0000, 0.3680, 0.4089)  3 O 1.93-2.02
Fe (0.5000, 0.8680, 0.0911)  3 O 1.93-2.02
Fe (0.0000, 0.6320, 0.5911)  3 O 1.93-2.02
F (0.5000, 0.1246, 0.6655)  4 Li 1.89-1.98
F (0.5000, 0.8754, 0.3345)  4 Li 1.89-1.98
F (0.0000, 0.3754, 0.1655)  4 Li 1.89-1.98
F (0.0000, 0.6246, 0.8345)  4 Li 1.89-1.98


5.
Computed, not measured: a relaxed structure of Li3Fe4O3F5 at the PBE+U level of DFT.

energy above the most stable polymorph in this dataset: 71 meV/atom
Fermi-level density of states: 0.000 states/eV per atom
ρ: 3.7 g/cm3
spin magnetization: 16.0 μB per formula unit

Unit cell a=6.2714 b=6.1987 c=6.0160 alpha=119.14 beta=69.00 gamma=121.55
Last column: nearest neighbours and their distance in Å.
Fractional positions:
Li (0.0166, 0.4860, 0.5226)  2 O 1.98-2.07, 2 F 2.06-2.17
Li (0.5043, 0.3942, 0.3801)  1 O 1.86, 2 F 1.95
Li (0.9614, 0.5571, 0.0102)  3 F 1.83-2.03
F (0.7004, 0.6949, 0.2589)  2 Li 1.95-2.03
F (0.7942, 0.2548, 0.7466)  1 Li 1.83
F (0.3329, 0.2744, 0.7429)  4 Fe 2.23-2.33, 1 Li 2.35
F (0.6545, 0.1452, 0.2712)  1 Li 1.95, 1 Fe 2.08
F (0.1910, 0.6896, 0.2533)  2 Li 2.00-2.17, 1 Fe 2.19
Fe (0.0808, 0.0243, 0.9858)  2 O 1.88-1.98
Fe (0.4873, 0.9627, 0.5411)  1 O 1.98, 2 F 2.08-2.10
Fe (0.4968, 0.7483, 0.9358)  2 O 1.98-2.01, 1 F 2.19
Fe (0.9985, 0.9959, 0.5160)  2 O 1.93-1.99
O (0.1720, 0.2256, 0.3188)  2 Li 1.86-1.98, 2 Fe 1.88-1.93
O (0.8336, 0.7787, 0.7367)  3 Fe 1.98-1.99
O (0.2757, 0.7685, 0.7800)  3 Fe 1.98-2.14, 2 Li 2.07-2.15


6.
Computed, not measured: a relaxed structure of Li2Fe2P2O9F at the PBE+U level of DFT.

Fermi-level density of states: 0.216 states/eV per atom
ρ: 3.2 g/cm3
spin magnetization: 8.9 μB per formula unit
total energy: -104.56 eV for the cell shown

Unit cell a=5.2412 b=5.3698 c=7.2173 alpha=107.36 beta=107.65 gamma=97.61
Last column: nearest neighbours and their distance in Å.
Fractional positions:
O (0.7488, 0.2432, 0.9263)  1 P 1.55
O (0.8942, 0.0678, 0.2426)  2 Fe 1.83-1.88, 1 Li 1.97
O (0.2464, 0.7756, 0.0988)  1 P 1.54
O (0.1375, 0.6677, 0.3920)  1 P 1.56
O (0.6349, 0.7503, 0.4042)  1 P 1.55
O (0.3781, 0.2397, 0.5987)  1 P 1.54
O (0.6823, 0.6679, 0.8442)  1 P 1.56
O (0.3093, 0.3366, 0.1511)  1 P 1.56
O (0.8870, 0.3322, 0.6377)  1 P 1.56
F (0.1065, 0.9280, 0.7652)  1 Li 1.95, 2 Fe 2.01-2.04
P (0.6786, 0.3648, 0.7530)  4 O 1.54-1.56
P (0.3273, 0.6395, 0.2609)  4 O 1.54-1.56
Fe (0.9950, 0.0007, 0.0150)  4 O 1.83-2.03, 1 F 2.01
Fe (0.9973, 0.0047, 0.4951)  5 O 1.88-2.06, 1 F 2.04
Li (0.2519, 0.6110, 0.6925)  1 F 1.95, 3 O 2.12-2.16
Li (0.7248, 0.3703, 0.2225)  3 O 1.97-2.09


7.
Computed, not measured: a relaxed structure of Li2FePO4F at the PBE+U level of DFT.

Fermi-level density of states: 0.000 states/eV per atom
ρ: 3.1 g/cm3
spin magnetization: 4.0 μB per formula unit
total energy: -114.34 eV for the cell shown

Unit cell a=5.3914 b=5.4518 c=7.5243 alpha=107.95 beta=108.43 gamma=95.39
Last column: nearest neighbours and their distance in Å.
Fractional positions:
O (0.6944, 0.6644, 0.3862)  1 P 1.55
O (0.8424, 0.3231, 0.1404)  1 P 1.55
O (0.2994, 0.8170, 0.6417)  1 P 1.55
O (0.3160, 0.3397, 0.6485)  1 P 1.56
O (0.3645, 0.2689, 0.1032)  1 P 1.57
O (0.1483, 0.6621, 0.8807)  1 P 1.56
O (0.7092, 0.2172, 0.4115)  1 P 1.55
O (0.6480, 0.7246, 0.9096)  1 P 1.55
Li (0.7725, 0.4515, 0.6953)  1 F 1.99, 3 O 2.02-2.16
Li (0.5177, 0.1872, 0.8628)  4 O 2.09-2.16, 1 F 2.10
Li (0.1309, 0.5354, 0.1021)  1 F 1.90, 3 O 2.00-2.01
Li (0.4929, 0.9295, 0.4755)  1 F 1.91, 3 O 1.97-2.13
F (0.8273, 0.1239, 0.7532)  3 Li 1.99-2.15
F (0.1532, 0.8820, 0.2721)  2 Li 1.90-1.91
Fe (0.0070, 0.9986, 0.0200)  4 O 2.08-2.15, 2 F 2.13-2.27
Fe (0.9987, 0.9996, 0.5056)  4 O 2.08-2.13, 2 F 2.13-2.28
P (0.6564, 0.3684, 0.2635)  4 O 1.55-1.57
P (0.3492, 0.6385, 0.7697)  4 O 1.55-1.56


8.
Computed, not measured: a relaxed structure of LiVFeP2O8F2 at the PBE+U level of DFT.

energy above the most stable polymorph in this dataset: 222 meV/atom
Fermi-level density of states: 0.000 states/eV per atom
ρ: 3.0 g/cm3
spin magnetization: 6.0 μB per formula unit

Unit cell a=5.4522 b=4.9605 c=9.1330 alpha=108.40 beta=88.54 gamma=123.61
Last column: nearest neighbours and their distance in Å.
Fractional positions:
O (0.4628, 0.5685, 0.9209)  1 O 1.50
O (0.7081, 0.6395, 0.3532)  1 P 1.52
O (0.3340, 0.4583, 0.0546)  1 O 1.50
O (0.9240, 0.1077, 0.7880)  1 P 1.56
O (0.1092, 0.7325, 0.8436)  1 P 1.51
O (0.0089, 0.8172, 0.1445)  1 P 1.51
O (0.7906, 0.2144, 0.1551)  1 P 1.53
O (0.3226, 0.4631, 0.6443)  1 P 1.50
F (0.2094, 0.7511, 0.3575)  1 P 1.61
F (0.7603, 0.2718, 0.5143)  1 Li 1.87, 1 Fe 1.93
Fe (0.7292, 0.6605, 0.5824)  1 F 1.93, 3 O 2.02-2.11
V (0.9697, 0.0009, 0.9896)  5 O 1.91-2.13
P (0.1872, 0.4718, 0.7891)  3 O 1.50-1.56
P (0.9062, 0.5934, 0.2428)  3 O 1.51-1.53, 1 F 1.61
Li (0.6191, 0.9454, 0.3087)  2 F 1.87-1.99, 2 O 1.98-2.09